First-principles (PBE-GGA) data for a relaxed structure of Th2MgP3Rh12, as listed in Alexandria via LeMat-Bulk.

Structure (POSCAR):
```
Th2MgP3Rh12
1.0
4.425 2.555 4.428
-4.425 2.555 4.428
0.000 -5.110 4.428
Th Mg P Rh
2 1 3 12
Direct
0.126 0.126 0.126
0.874 0.874 0.874
0.500 0.500 0.500
0.000 0.500 0.500
0.500 0.000 0.500
0.500 0.500 0.000
0.140 0.140 0.593
0.140 0.593 0.140
0.162 0.673 0.674
0.326 0.327 0.838
0.326 0.838 0.326
0.407 0.860 0.860
0.593 0.140 0.140
0.674 0.162 0.674
0.674 0.674 0.162
0.838 0.326 0.327
0.860 0.407 0.860
0.860 0.860 0.407
```

- E_form (eV/atom) = -0.4036
- crystal system = trigonal